Record 1
The following is a PBE-GGA calculation of crystalline Bi2IrPtCl at its relaxed geometry, from the Alexandria database.

Cell lengths 5.392, 4.577, 5.392 Å; angles 90.00, 90.00, 90.00 degrees
Sites, in units of the cell vectors:
Ir: 0.500 0.500 0.500
Bi: 0.000 0.000 0.500
Bi: 0.500 0.000 0.000
Pt: 0.000 0.000 0.000
Cl: 0.000 0.500 0.000

As for the total energy: -4.0282 eV per atom. For the density of states at the Fermi level, the calculation gives 4.7 states/eV per cell. As for the formation energy from raw total energies: 874 meV per atom. The calculated volume comes out at 26.62 A^3/atom.


Record 2
The following is a PBE-GGA calculation of crystalline BiIr2SCl at its relaxed geometry, from the Alexandria database.

Cell lengths 4.310, 5.998, 4.310 Å; angles 90.00, 90.00, 90.00 degrees
Sites, in units of the cell vectors:
S: 0.000 0.500 0.000
Ir: 0.000 0.000 0.500
Ir: 0.500 0.000 0.000
Bi: 0.500 0.500 0.500
Cl: 0.000 0.000 0.000

As for the total energy: -4.2879 eV per atom. For the density of states at the Fermi level, the calculation gives 4.6 states/eV per cell. As for the formation energy from raw total energies: 1228 meV per atom. The calculated volume comes out at 22.29 A^3/atom.


Record 3
The following is a PBE-GGA calculation of crystalline ScBiIr2Cl at its relaxed geometry, from the Alexandria database.

Cell lengths 4.599, 4.682, 4.599 Å; angles 90.00, 90.00, 90.00 degrees
Sites, in units of the cell vectors:
Sc: 0.000 0.500 0.000
Ir: 0.000 0.000 0.500
Ir: 0.500 0.000 0.000
Bi: 0.500 0.500 0.500
Cl: 0.000 0.000 0.000

As for the total energy: -5.4903 eV per atom. For the density of states at the Fermi level, the calculation gives 4.6 states/eV per cell. As for the formation energy from raw total energies: 466 meV per atom. The calculated volume comes out at 19.80 A^3/atom.


Record 4
The following is a PBE-GGA calculation of crystalline BiIrSeCl2 at its relaxed geometry, from the Alexandria database.

Cell lengths 4.584, 5.911, 4.584 Å; angles 90.00, 90.00, 90.00 degrees
Sites, in units of the cell vectors:
Ir: 0.000 0.000 0.000
Bi: 0.000 0.500 0.000
Se: 0.500 0.500 0.500
Cl: 0.000 0.000 0.500
Cl: 0.500 0.000 0.000

As for the total energy: -3.8401 eV per atom. For the density of states at the Fermi level, the calculation gives 6.2 states/eV per cell. As for the formation energy from raw total energies: 144 meV per atom. The calculated volume comes out at 24.84 A^3/atom.


Record 5
The following is a PBE-GGA calculation of crystalline Sm3BiIrCl at its relaxed geometry, from the Alexandria database.

Cell lengths 4.350, 7.903, 10.232 Å; angles 106.36, 90.00, 90.00 degrees
Sites, in units of the cell vectors:
Sm: 0.250 0.708 0.448
Sm: 0.750 0.934 0.134
Sm: 0.750 0.456 0.134
Sm: 0.750 0.292 0.552
Sm: 0.250 0.544 0.866
Sm: 0.250 0.066 0.866
Bi: 0.750 0.725 0.696
Bi: 0.250 0.275 0.304
Ir: 0.250 0.705 0.143
Ir: 0.750 0.295 0.857
Cl: 0.250 0.092 0.603
Cl: 0.750 0.908 0.397

As for the total energy: -5.7227 eV per atom. For the density of states at the Fermi level, the calculation gives 6.2 states/eV per cell. As for the formation energy from raw total energies: -932 meV per atom. The calculated volume comes out at 28.13 A^3/atom.


Record 6
The following is a PBE-GGA calculation of crystalline TaBi2IrCl at its relaxed geometry, from the Alexandria database.

Cell lengths 5.554, 4.751, 5.554 Å; angles 90.00, 90.00, 90.00 degrees
Sites, in units of the cell vectors:
Cl: 0.500 0.500 0.500
Ir: 0.000 0.500 0.000
Bi: 0.000 0.000 0.500
Bi: 0.500 0.000 0.000
Ta: 0.000 0.000 0.000

As for the total energy: -5.3277 eV per atom. For the density of states at the Fermi level, the calculation gives 3.6 states/eV per cell. As for the formation energy from raw total energies: 737 meV per atom. The calculated volume comes out at 29.31 A^3/atom.


Record 7
The following is a PBE-GGA calculation of crystalline TaBiIr2Cl at its relaxed geometry, from the Alexandria database.

Cell lengths 4.996, 4.984, 4.996 Å; angles 90.00, 90.00, 90.00 degrees
Sites, in units of the cell vectors:
Cl: 0.000 0.500 0.000
Ir: 0.000 0.000 0.500
Ir: 0.500 0.000 0.000
Bi: 0.000 0.000 0.000
Ta: 0.500 0.500 0.500

As for the total energy: -5.0870 eV per atom. For the density of states at the Fermi level, the calculation gives 9.2 states/eV per cell. As for the formation energy from raw total energies: 1973 meV per atom. The calculated volume comes out at 24.88 A^3/atom.


Record 8
The following is a PBE-GGA calculation of crystalline KBiCl3 at its relaxed geometry, from the Alexandria database.

Cell lengths 6.117, 5.731, 10.515 Å; angles 105.82, 90.00, 90.00 degrees
Sites, in units of the cell vectors:
K: 0.250 0.934 0.713
K: 0.750 0.221 0.287
Bi: 0.250 0.650 0.149
Bi: 0.750 0.502 0.851
Cl: 0.750 0.000 0.849
Cl: 0.750 0.649 0.145
Cl: 0.750 0.370 0.593
Cl: 0.250 0.504 0.855
Cl: 0.250 0.151 0.151
Cl: 0.250 0.777 0.407

As for the total energy: -3.2667 eV per atom. For the density of states at the Fermi level, the calculation gives 4.5 states/eV per cell. As for the formation energy from raw total energies: -1163 meV per atom. The calculated volume comes out at 35.47 A^3/atom. Its offset from the most stable computed form is 0.000 eV/atom.


Record 9
The following is a PBE-GGA calculation of crystalline K4BiCl6 at its relaxed geometry, from the Alexandria database.

Cell lengths 8.844, 8.844, 8.927 Å; angles 90.00, 90.00, 90.00 degrees
Sites, in units of the cell vectors:
K: 0.334 0.166 0.250
K: 0.166 0.666 0.750
K: 0.666 0.834 0.750
K: 0.834 0.334 0.750
K: 0.334 0.166 0.750
K: 0.166 0.666 0.250
K: 0.834 0.334 0.250
K: 0.666 0.834 0.250
Bi: 0.500 0.500 0.000
Bi: 0.000 0.000 0.500
Cl: 0.326 0.887 0.500
Cl: 0.826 0.613 0.000
Cl: 0.613 0.174 0.000
Cl: 0.113 0.326 0.500
Cl: 0.000 0.000 0.197
Cl: 0.500 0.500 0.303
Cl: 0.387 0.826 0.000
Cl: 0.000 0.000 0.803
Cl: 0.174 0.387 0.000
Cl: 0.500 0.500 0.697
Cl: 0.887 0.674 0.500
Cl: 0.674 0.113 0.500

As for the total energy: -3.2695 eV per atom. For the density of states at the Fermi level, the calculation gives 12.7 states/eV per cell. As for the formation energy from raw total energies: -1510 meV per atom. The calculated volume comes out at 31.74 A^3/atom.


Record 10
The following is a PBE-GGA calculation of crystalline KBi2Cl8 at its relaxed geometry, from the Alexandria database.

Cell lengths 7.830, 7.020, 7.020 Å; angles 73.77, 81.80, 81.80 degrees
Sites, in units of the cell vectors:
K: 0.000 0.000 0.000
Bi: 0.433 0.322 0.322
Bi: 0.567 0.678 0.678
Cl: 0.370 0.691 0.057
Cl: 0.630 0.943 0.309
Cl: 0.146 0.244 0.244
Cl: 0.854 0.756 0.756
Cl: 0.370 0.057 0.691
Cl: 0.630 0.309 0.943
Cl: 0.727 0.438 0.438
Cl: 0.273 0.562 0.562

As for the total energy: -3.1438 eV per atom. For the density of states at the Fermi level, the calculation gives 9.9 states/eV per cell. As for the formation energy from raw total energies: -995 meV per atom. The calculated volume comes out at 33.14 A^3/atom. Its offset from the most stable computed form is 0.036 eV/atom.


Record 11
The following is a PBE-GGA calculation of crystalline K3BiCl8 at its relaxed geometry, from the Alexandria database.

Cell lengths 7.115, 7.115, 9.099 Å; angles 113.02, 113.02, 90.00 degrees
Sites, in units of the cell vectors:
K: 0.750 0.250 0.500
K: 0.500 0.500 0.000
K: 0.250 0.750 0.500
Bi: 0.000 0.000 0.000
Cl: 0.342 0.342 0.227
Cl: 0.342 0.885 0.227
Cl: 0.115 0.658 0.773
Cl: 0.115 0.115 0.773
Cl: 0.885 0.885 0.227
Cl: 0.885 0.342 0.227
Cl: 0.658 0.115 0.773
Cl: 0.658 0.658 0.773

As for the total energy: -2.9891 eV per atom. For the density of states at the Fermi level, the calculation gives 14.2 states/eV per cell. As for the formation energy from raw total energies: -1160 meV per atom. The calculated volume comes out at 31.99 A^3/atom.


Record 12
The following is a PBE-GGA calculation of crystalline KBiCl6 at its relaxed geometry, from the Alexandria database.

Cell lengths 6.741, 6.741, 6.717 Å; angles 104.15, 104.15, 104.49 degrees
Sites, in units of the cell vectors:
K: 0.000 0.000 0.000
Bi: 0.500 0.500 0.500
Cl: 0.209 0.209 0.543
Cl: 0.540 0.209 0.209
Cl: 0.791 0.791 0.457
Cl: 0.791 0.460 0.791
Cl: 0.460 0.791 0.791
Cl: 0.209 0.540 0.209

As for the total energy: -2.8889 eV per atom. For the density of states at the Fermi level, the calculation gives 0.5 states/eV per cell. As for the formation energy from raw total energies: -882 meV per atom. The calculated volume comes out at 33.87 A^3/atom.


Please write out number 7 again, unchanged.
The following is a PBE-GGA calculation of crystalline TaBiIr2Cl at its relaxed geometry, from the Alexandria database.

Cell lengths 4.996, 4.984, 4.996 Å; angles 90.00, 90.00, 90.00 degrees
Sites, in units of the cell vectors:
Cl: 0.000 0.500 0.000
Ir: 0.000 0.000 0.500
Ir: 0.500 0.000 0.000
Bi: 0.000 0.000 0.000
Ta: 0.500 0.500 0.500

As for the total energy: -5.0870 eV per atom. For the density of states at the Fermi level, the calculation gives 9.2 states/eV per cell. As for the formation energy from raw total energies: 1973 meV per atom. The calculated volume comes out at 24.88 A^3/atom.


> Among the records above, which one has the lowest calculated volume?

ScBiIr2Cl


> The highest calculated volume belongs to which entry?

KBiCl3